#1
Material: TbNd7Sm2
Method: DFT, PBE
State: relaxed

Computed properties:
Total moment = 0.0 μB/f.u.

```
data_TbNd7Sm2
_chemical_formula_sum 'Tb1 Nd7 Sm2'
_space_group_name_H-M_alt 'P 1'
_space_group_IT_number 1
_cell_length_a 9.551
_cell_length_b 9.551
_cell_length_c 5.546
_cell_angle_alpha 90.00
_cell_angle_beta 90.00
_cell_angle_gamma 125.04
loop_
_space_group_symop_operation_xyz
'x,y,z'
loop_
_atom_site_label
_atom_site_type_symbol
_atom_site_fract_x
_atom_site_fract_y
_atom_site_fract_z
Tb1 Tb 0.000 0.000 0.000
Nd1 Nd 0.069 0.291 0.500
Nd2 Nd 0.214 0.786 0.000
Nd3 Nd 0.291 0.069 0.500
Nd4 Nd 0.500 0.500 0.500
Nd5 Nd 0.709 0.931 0.500
Nd6 Nd 0.786 0.214 0.000
Nd7 Nd 0.931 0.709 0.500
Sm1 Sm 0.295 0.705 0.500
Sm2 Sm 0.705 0.295 0.500
```

***

#2
Material: TbNd7Sm2
Method: DFT, PBE
State: relaxed

Computed properties:
Total moment = 0.0 μB/f.u.

```
data_TbNd7Sm2
_chemical_formula_sum 'Tb1 Nd7 Sm2'
_space_group_name_H-M_alt 'P 1'
_space_group_IT_number 1
_cell_length_a 10.427
_cell_length_b 10.427
_cell_length_c 3.547
_cell_angle_alpha 90.00
_cell_angle_beta 90.00
_cell_angle_gamma 108.90
loop_
_space_group_symop_operation_xyz
'x,y,z'
loop_
_atom_site_label
_atom_site_type_symbol
_atom_site_fract_x
_atom_site_fract_y
_atom_site_fract_z
Tb1 Tb 0.000 0.000 0.000
Nd1 Nd 0.128 0.383 0.500
Nd2 Nd 0.323 0.677 0.000
Nd3 Nd 0.383 0.128 0.500
Nd4 Nd 0.500 0.500 0.500
Nd5 Nd 0.617 0.872 0.500
Nd6 Nd 0.677 0.323 0.000
Nd7 Nd 0.872 0.617 0.500
Sm1 Sm 0.169 0.831 0.500
Sm2 Sm 0.831 0.169 0.500
```

***

Of the structures shown above, #2 is the most stable.